InS2F: optimized geometry, PBE.

As for the formation energy without anion corrections: -0.431 eV per atom. Its energy above the lowest structure with this stoichiometry is 0 meV per atom.

It has space group R-3m (No. 166, hexagonal axes), with a = 3.8860 Å, b = 3.8860 Å, c = 20.3533 Å, α = 90.00°, β = 90.00° and γ = 120.00°. The distinct sites, in fractional coordinates, are In at (0.0000, 0.0000, 0.0000), S at (0.0000, 0.0000, 0.4003) and F at (0.0000, 0.0000, 0.5000).